# 1
First-principles (PBE) data for a geometry-optimized K4NbO4 structure, as listed in Alexandria via LeMat-Bulk.

M_tot: 0.519 μB/f.u.
Space group: No. 137
Theoretical density: 2.2 Mg/m³
E_form (uncorrected): -16.54 eV per formula unit

a = 9.4490 Å, b = 7.0760 Å, c = 7.0760 Å
α = 90.00°, β = 90.00°, γ = 90.00°
Element x y z (fractional)
O (0.6236, 0.2897, 0.5001)
O (0.3764, 0.4999, 0.2897)
O (0.6236, 0.7103, 0.4999)
O (0.1236, 0.0001, 0.2103)
O (0.8764, 0.7897, 0.0001)
O (0.3764, 0.5001, 0.7103)
O (0.8764, 0.2103, 0.9999)
O (0.1236, 0.9999, 0.7897)
K (0.8198, 0.5000, 0.2375)
K (0.3198, 0.7375, 0.0000)
K (0.6802, 0.0000, 0.7375)
K (0.1802, 0.2375, 0.5000)
K (0.3198, 0.2625, 0.0000)
K (0.1802, 0.7625, 0.5000)
K (0.8198, 0.5000, 0.7625)
K (0.6802, 0.0000, 0.2625)
Nb (0.0000, 0.0000, 0.0000)
Nb (0.5000, 0.5000, 0.5000)

# 2
First-principles (PBE) data for a geometry-optimized Pm12Y6Tm structure, as listed in Alexandria via LeMat-Bulk.

M_tot: 0.000 μB/f.u.
E_form: 0.1380 eV per atom
Space group: No. 148
Theoretical density: 6.2 Mg/m³

a = 8.6684 Å, b = 8.6684 Å, c = 8.6684 Å
α = 89.22°, β = 89.22°, γ = 89.22°
Element x y z (fractional)
Pm (0.9820, 0.8044, 0.6397)
Pm (0.8044, 0.6397, 0.9820)
Pm (0.5370, 0.4341, 0.7794)
Pm (0.0180, 0.1956, 0.3603)
Pm (0.5659, 0.2206, 0.4630)
Pm (0.2206, 0.4630, 0.5659)
Pm (0.4630, 0.5659, 0.2206)
Pm (0.6397, 0.9820, 0.8044)
Pm (0.4341, 0.7794, 0.5370)
Pm (0.3603, 0.0180, 0.1956)
Pm (0.1956, 0.3603, 0.0180)
Pm (0.7794, 0.5370, 0.4341)
Y (0.2984, 0.7390, 0.9018)
Y (0.0982, 0.7016, 0.2610)
Y (0.7016, 0.2610, 0.0982)
Y (0.2610, 0.0982, 0.7016)
Y (0.7390, 0.9018, 0.2984)
Y (0.9018, 0.2984, 0.7390)
Tm (0.0000, 0.0000, 0.0000)

# 3
First-principles (PBE) data for a geometry-optimized Cs2Np2IrS6 structure, as listed in Alexandria via LeMat-Bulk.

M_tot: 7.000 μB/f.u.
Space group: No. 12
Theoretical density: 5.9 Mg/m³
E_form (uncorrected): -11.73 eV per formula unit

a = 6.5752 Å, b = 6.5752 Å, c = 8.6448 Å
α = 97.91°, β = 97.91°, γ = 118.56°
Element x y z (fractional)
S (0.3686, 0.0651, 0.6746)
S (0.9349, 0.6314, 0.3254)
S (0.2431, 0.2431, 0.3288)
S (0.7569, 0.7569, 0.6712)
S (0.6314, 0.9349, 0.3254)
S (0.0651, 0.3686, 0.6746)
Ir (0.0000, 0.0000, 0.5000)
Cs (0.8280, 0.1720, 0.0000)
Cs (0.1720, 0.8280, 0.0000)
Np (0.3313, 0.6687, 0.5000)
Np (0.6687, 0.3313, 0.5000)

# 4
First-principles (PBE) data for a geometry-optimized Ba2Cd2Pd structure, as listed in Alexandria via LeMat-Bulk.

M_tot: 0.000 μB/f.u.
E_form: -0.1282 eV per atom
Space group: No. 139
Theoretical density: 5.6 Mg/m³

a = 6.6561 Å, b = 6.6561 Å, c = 6.2326 Å
α = 57.73°, β = 57.73°, γ = 90.00°
Element x y z (fractional)
Pd (0.0000, 0.0000, 0.0000)
Cd (0.6676, 0.6676, 0.6649)
Cd (0.3324, 0.3324, 0.3351)
Ba (0.2500, 0.7500, 0.5000)
Ba (0.7500, 0.2500, 0.5000)

# 5
First-principles (PBE) data for a geometry-optimized Y2ZrNbOs structure, as listed in Alexandria via LeMat-Bulk.

M_tot: 0.000 μB/f.u.
E_form: 0.5593 eV per atom
Space group: No. 123
Theoretical density: 6.6 Mg/m³

a = 5.3166 Å, b = 4.9011 Å, c = 5.3166 Å
α = 90.00°, β = 90.00°, γ = 90.00°
Element x y z (fractional)
Nb (0.0000, 0.5000, 0.0000)
Y (0.5000, 0.0000, 0.0000)
Y (0.0000, 0.0000, 0.5000)
Os (0.0000, 0.0000, 0.0000)
Zr (0.5000, 0.5000, 0.5000)

# 6
First-principles (PBE) data for a geometry-optimized CaAc2P2N6 structure, as listed in Alexandria via LeMat-Bulk.

M_tot: 0.000 μB/f.u.
Space group: No. 166
Theoretical density: 6.1 Mg/m³
E_form (uncorrected): -10.77 eV per formula unit

a = 5.7118 Å, b = 5.7118 Å, c = 6.9550 Å
α = 65.76°, β = 65.76°, γ = 60.00°
Element x y z (fractional)
N (0.7347, 0.2547, 0.2759)
N (0.7453, 0.2653, 0.7241)
N (0.2547, 0.7347, 0.2759)
N (0.2653, 0.2653, 0.7241)
N (0.2653, 0.7453, 0.7241)
N (0.7347, 0.7347, 0.2759)
P (0.4235, 0.4235, 0.7294)
P (0.5765, 0.5765, 0.2706)
Ac (0.2097, 0.2097, 0.3708)
Ac (0.7903, 0.7903, 0.6292)
Ca (0.0000, 0.0000, 0.0000)

# 7
First-principles (PBE) data for a geometry-optimized CdHg2Se3 structure, as listed in Alexandria via LeMat-Bulk.

M_tot: 0.000 μB/f.u.
Space group: No. 9
Theoretical density: 6.8 Mg/m³
E_form (uncorrected): -2.09 eV per formula unit

a = 7.6424 Å, b = 7.6424 Å, c = 7.6460 Å
α = 99.61°, β = 99.61°, γ = 120.01°
Element x y z (fractional)
Hg (0.5954, 0.4297, 0.0085)
Hg (0.7621, 0.2601, 0.5067)
Hg (0.2601, 0.7621, 0.0067)
Hg (0.4297, 0.5954, 0.5085)
Se (0.3844, 0.8861, 0.3829)
Se (0.5557, 0.7236, 0.8843)
Se (0.8861, 0.3844, 0.8829)
Se (0.2178, 0.0541, 0.8808)
Se (0.0541, 0.2178, 0.3808)
Se (0.7236, 0.5557, 0.3843)
Cd (0.9298, 0.0962, 0.0081)
Cd (0.0962, 0.9298, 0.5081)

# 8
First-principles (PBE) data for a geometry-optimized HfGaSi3 structure, as listed in Alexandria via LeMat-Bulk.

M_tot: 0.000 μB/f.u.
Space group: No. 221
Theoretical density: 4.2 Mg/m³
E_form (uncorrected): 3.54 eV per formula unit

a = 5.0690 Å, b = 5.0690 Å, c = 5.0690 Å
α = 90.00°, β = 90.00°, γ = 90.00°
Element x y z (fractional)
Si (0.0000, 0.0000, 0.5000)
Si (0.0000, 0.5000, 0.0000)
Si (0.5000, 0.0000, 0.0000)
Ga (0.5000, 0.5000, 0.5000)
Hf (0.0000, 0.0000, 0.0000)

# 9
First-principles (PBE) data for a geometry-optimized NaNd2Er structure, as listed in Alexandria via LeMat-Bulk.

M_tot: 0.000 μB/f.u.
E_form: 0.1937 eV per atom
Space group: No. 123
Theoretical density: 6.0 Mg/m³

a = 3.7630 Å, b = 5.9451 Å, c = 5.9451 Å
α = 90.00°, β = 90.00°, γ = 90.00°
Element x y z (fractional)
Nd (0.0000, 0.5000, 0.0000)
Nd (0.0000, 0.0000, 0.5000)
Er (0.5000, 0.0000, 0.0000)
Na (0.5000, 0.5000, 0.5000)

# 10
First-principles (PBE) data for a geometry-optimized Cr2SbMo2 structure, as listed in Alexandria via LeMat-Bulk.

M_tot: 0.000 μB/f.u.
Space group: No. 139
Theoretical density: 8.1 Mg/m³
E_form (uncorrected): 2.97 eV per formula unit

a = 6.4078 Å, b = 6.4078 Å, c = 6.4078 Å
α = 145.02°, β = 145.02°, γ = 50.30°
Element x y z (fractional)
Mo (0.6210, 0.6210, 0.0000)
Mo (0.3790, 0.3790, 0.0000)
Cr (0.7500, 0.2500, 0.5000)
Cr (0.2500, 0.7500, 0.5000)
Sb (0.0000, 0.0000, 0.0000)

# 11
First-principles (PBE) data for a geometry-optimized DyTmInSn structure, as listed in Alexandria via LeMat-Bulk.

M_tot: 0.000 μB/f.u.
E_form: -0.4782 eV per atom
Space group: No. 216
Theoretical density: 8.9 Mg/m³

a = 5.3030 Å, b = 5.3030 Å, c = 5.3030 Å
α = 60.00°, β = 60.00°, γ = 60.00°
Element x y z (fractional)
Sn (0.2500, 0.2500, 0.2500)
Tm (0.5000, 0.5000, 0.5000)
In (0.7500, 0.7500, 0.7500)
Dy (0.0000, 0.0000, 0.0000)

# 12
First-principles (PBE) data for a geometry-optimized Ba2ZrSb structure, as listed in Alexandria via LeMat-Bulk.

M_tot: 2.138 μB/f.u.
Space group: No. 139
Theoretical density: 5.9 Mg/m³
E_form (uncorrected): 0.25 eV per formula unit

a = 6.5471 Å, b = 6.5471 Å, c = 6.5471 Å
α = 135.16°, β = 135.14°, γ = 65.29°
Element x y z (fractional)
Ba (0.4999, 0.4999, 0.0000)
Ba (0.0001, 0.0001, 0.0000)
Zr (0.2500, 0.7500, 0.5000)
Sb (0.7500, 0.2500, 0.5000)

# 13
First-principles (PBE) data for a geometry-optimized BeAl2In2 structure, as listed in Alexandria via LeMat-Bulk.

M_tot: 0.000 μB/f.u.
E_form: 0.3056 eV per atom
Space group: No. 127
Theoretical density: 4.8 Mg/m³

a = 6.3885 Å, b = 6.3885 Å, c = 4.9547 Å
α = 90.00°, β = 90.00°, γ = 90.00°
Element x y z (fractional)
Be (0.5000, 0.5000, 0.0000)
Be (0.0000, 0.0000, 0.0000)
Al (0.3500, 0.8500, 0.0000)
Al (0.8500, 0.6500, 0.0000)
Al (0.6500, 0.1500, 0.0000)
Al (0.1500, 0.3500, 0.0000)
In (0.6737, 0.8263, 0.5000)
In (0.8263, 0.3263, 0.5000)
In (0.1737, 0.6737, 0.5000)
In (0.3263, 0.1737, 0.5000)

# 14
First-principles (PBE) data for a geometry-optimized ZrTiV2 structure, as listed in Alexandria via LeMat-Bulk.

M_tot: 3.477 μB/f.u.
E_form: 0.2071 eV per atom
Space group: No. 123
Theoretical density: 5.9 Mg/m³

a = 3.2911 Å, b = 4.5431 Å, c = 4.5431 Å
α = 90.00°, β = 90.00°, γ = 90.00°
Element x y z (fractional)
Zr (0.5000, 0.5000, 0.5000)
V (0.0000, 0.0000, 0.5000)
V (0.0000, 0.5000, 0.0000)
Ti (0.5000, 0.0000, 0.0000)

# 15
First-principles (PBE) data for a geometry-optimized Li3Zn2Cd6 structure, as listed in Alexandria via LeMat-Bulk.

M_tot: 0.000 μB/f.u.
E_form: -0.1299 eV per atom
Space group: No. 2
Theoretical density: 6.6 Mg/m³

a = 4.3919 Å, b = 7.5991 Å, c = 14.5336 Å
α = 43.46°, β = 72.84°, γ = 106.50°
Element x y z (fractional)
Cd (0.2676, 0.9200, 0.1885)
Cd (0.0689, 0.6092, 0.7379)
Cd (0.9311, 0.3908, 0.2621)
Cd (0.7324, 0.0800, 0.8115)
Cd (0.1651, 0.2680, 0.4707)
Cd (0.8349, 0.7320, 0.5293)
Li (0.4154, 0.1395, 0.6557)
Li (0.5846, 0.8605, 0.3443)
Li (0.0000, 0.0000, 0.0000)
Zn (0.6529, 0.4680, 0.0851)
Zn (0.3471, 0.5320, 0.9149)